The following is a DFT calculation (PBE-GGA) of GeAsOs2 after structural relaxation.

It has space group Fm-3m (No. 225), with a = 6.1533 Å, b = 6.1533 Å, c = 6.1533 Å, α = 90.00°, β = 90.00° and γ = 90.00°. Symmetry generates all atoms from Ge at (0.0000, 0.0000, 0.0000), As at (0.0000, 0.0000, 0.5000) and Os at (0.2500, 0.2500, 0.2500).

The energy above the most stable polymorph in this dataset is 0.0000 eV per atom. For the density of states at the Fermi level, the calculation gives 1.6 states/eV/f.u. Its calculated formation energy is 0.325 eV per atom.